No. 1
Entry from Alexandria: an optimized crystal structure of MnCuBRu2 (PBE).

Cell lengths 4.310, 4.310, 4.377 Å; angles 90.00, 90.00, 90.00 degrees
Space group P4/mmm (No. 123)
Inequivalent atoms, fractional coordinates:
Mn1 0.000 0.000 0.000 [1 per cell]
Cu1 0.000 0.000 0.500 [1 per cell]
B1 0.500 0.500 0.500 [1 per cell]
Ru1 0.000 0.500 0.000 [2 per cell]

Output
calculated formation energy: 1963 meV per atom
spin magnetization: 0.00 μB per formula unit
total energy: -28.7 eV per cell

***

No. 2
Entry from Alexandria: an optimized crystal structure of UP2Os (PBE).

Cell lengths 2.9456, 2.9456, 27.2933 Å; angles 90.00, 90.00, 120.00 degrees
Space group R-3m (No. 166, hexagonal axes)
Inequivalent atoms, fractional coordinates:
U1 0.0000 0.0000 0.0000 [3 per cell]
P1 0.0000 0.0000 0.1024 [6 per cell]
Os1 0.0000 0.0000 0.5000 [3 per cell]

Output
calculated formation energy: 62 meV per atom
spin magnetization: 1.94 μB per formula unit
total energy: -99.3 eV per cell

***

No. 3
Entry from Alexandria: an optimized crystal structure of KBeAlO3 (PBE).

Cell lengths 7.080, 2.917, 7.403 Å; angles 90.00, 112.84, 90.00 degrees
Space group P2_1/m (No. 11)
Inequivalent atoms, fractional coordinates:
K1 0.222 0.250 0.240 [2 per cell]
Be1 0.086 0.250 0.609 [2 per cell]
Al1 0.340 0.750 0.865 [2 per cell]
O1 0.151 0.250 0.839 [2 per cell]
O2 0.161 0.750 0.550 [2 per cell]
O3 0.484 0.750 0.141 [2 per cell]

Output
ΔE_f (raw): -2.49 eV/atom
spin magnetization: 0.00 μB per formula unit
total energy: -76.8 eV per cell

***

- Look up the spin magnetization of the third one.
  0.00 μB per formula unit

***

- The highest spin magnetization belongs to which entry?
  UP2Os

***

Copy entry 1 word for word.
Entry from Alexandria: an optimized crystal structure of MnCuBRu2 (PBE).

Cell lengths 4.310, 4.310, 4.377 Å; angles 90.00, 90.00, 90.00 degrees
Space group P4/mmm (No. 123)
Inequivalent atoms, fractional coordinates:
Mn1 0.000 0.000 0.000 [1 per cell]
Cu1 0.000 0.000 0.500 [1 per cell]
B1 0.500 0.500 0.500 [1 per cell]
Ru1 0.000 0.500 0.000 [2 per cell]

Output
calculated formation energy: 1963 meV per atom
spin magnetization: 0.00 μB per formula unit
total energy: -28.7 eV per cell

***

Please write out number 3 again, unchanged.
Entry from Alexandria: an optimized crystal structure of KBeAlO3 (PBE).

Cell lengths 7.080, 2.917, 7.403 Å; angles 90.00, 112.84, 90.00 degrees
Space group P2_1/m (No. 11)
Inequivalent atoms, fractional coordinates:
K1 0.222 0.250 0.240 [2 per cell]
Be1 0.086 0.250 0.609 [2 per cell]
Al1 0.340 0.750 0.865 [2 per cell]
O1 0.151 0.250 0.839 [2 per cell]
O2 0.161 0.750 0.550 [2 per cell]
O3 0.484 0.750 0.141 [2 per cell]

Output
ΔE_f (raw): -2.49 eV/atom
spin magnetization: 0.00 μB per formula unit
total energy: -76.8 eV per cell